No. 1
Zr3CdN (PBE, optimized geometry); total magnetization = 0.000 μB/atom; symmetry = C2/m (12); calculated volume = 21.37 Å³/atom; energy relative to the elements, uncorrected = -0.504 eV per atom
1.0
18.514 0.000 -0.657
6.909 1.595 -3.862
-6.909 1.595 3.862
N Zr Cd
2 6 2
direct
0.269 0.143 0.857
0.731 0.857 0.143
0.034 0.310 0.690
0.624 0.546 0.454
0.818 0.184 0.816
0.376 0.454 0.546
0.966 0.690 0.310
0.182 0.816 0.184
0.730 0.092 0.908
0.270 0.908 0.092

***

No. 2
NdNiP2Ru (PBE, optimized geometry); total magnetization = 0.013 μB/atom; symmetry = I-4m2 (119); calculated volume = 15.79 Å³/atom; E_tot = -7.04 eV per atom
1.0
3.943 0.000 0.000
0.000 3.943 0.000
-1.971 -1.971 5.079
Ni P Ru Nd
1 2 1 1
direct
0.250 0.750 0.500
0.624 0.624 0.248
0.376 0.376 0.752
0.750 0.250 0.500
0.000 0.000 0.000